VASP calculation (PBE) on a relaxed structure of Li2ZrCuBi.

The structure in POSCAR format:
```
Li2ZrCuBi
1.0
-1.142 4.579 1.206
-4.693 -0.348 -3.123
-2.457 -1.634 3.875
Li Bi Zr Cu
2 1 1 1
direct
0.000 0.000 0.500
0.500 0.000 0.000
0.000 0.000 0.000
0.000 0.500 0.000
0.500 0.500 0.500
```

- magnetization (Bohr magnetons per cell) = 0.767
- raw total energy (eV per atom) = -3.54
- space-group type = P4/mmm
- DFT formation energy (eV per atom) = 0.53